1.
Density functional theory data (GGA-PBE) for a relaxed BeNb2Mo crystal.

```
8
Lattice="-0.938 3.204 6.331 5.910 -3.181 2.486 3.870 1.969 3.623" Properties=species:S:1:pos:R:3 pbc="T T T"
Be 6.133 -0.600 5.259
Mo 0.000 0.000 0.000
Nb 1.152 1.986 4.954
Nb 7.048 1.607 10.346
Nb 4.971 1.375 6.109
Be 2.486 0.011 4.408
Nb 4.511 -0.985 3.470
Mo 2.709 2.592 7.181
```

Output
Space-group type: I-42d
Energy relative to the elements (eV per atom): 0.54
Calculated volume (A^3/atom): 16.16
Fermi-level density of states (states/eV/f.u.): 2.41

***

2.
Density functional theory data (GGA-PBE) for a relaxed BeNb2Mo crystal.

```
4
Lattice="-2.079 1.685 1.833 0.004 -2.385 2.198 4.529 2.567 2.777" Properties=species:S:1:pos:R:3 pbc="T T T"
Nb 3.450 1.956 2.116
Nb 1.079 0.612 0.662
Mo 1.227 0.934 3.404
Be -1.038 -0.350 2.015
```

Output
Space-group type: P4/mmm
Energy relative to the elements (eV per atom): -0.05
Calculated volume (A^3/atom): 15.52
Fermi-level density of states (states/eV/f.u.): 2.07

***

3.
Density functional theory data (GGA-PBE) for a relaxed BeNbMo3 crystal.

```
5
Lattice="-1.092 0.598 4.560 -3.567 -3.068 -0.451 2.903 -3.546 1.160" Properties=species:S:1:pos:R:3 pbc="T T T"
Be -0.878 -3.008 2.634
Mo -1.784 -1.534 -0.226
Mo 1.451 -1.773 0.580
Mo -0.546 0.299 2.280
Nb 0.000 0.000 0.000
```

Output
Space-group type: Pm-3m
Energy relative to the elements (eV per atom): 2.13
Calculated volume (A^3/atom): 21.12
Fermi-level density of states (states/eV/f.u.): 6.72

***

4.
Density functional theory data (GGA-PBE) for a relaxed Be2Nb2MoRu5 crystal.

```
20
Lattice="3.112 0.000 0.000 0.000 9.405 0.000 0.000 0.000 9.405" Properties=species:S:1:pos:R:3 pbc="T T T"
Be 0.000 1.141 5.844
Ru 1.556 1.970 0.680
Ru 1.556 2.732 5.382
Nb 0.000 7.768 6.339
Be 0.000 5.844 8.264
Nb 0.000 6.339 1.637
Be 0.000 8.264 3.561
Mo 0.000 0.000 0.000
Ru 1.556 0.680 7.435
Ru 1.556 4.703 0.000
Ru 1.556 5.382 6.673
Nb 0.000 1.637 3.066
Mo 0.000 4.703 4.703
Ru 1.556 4.023 2.732
Ru 1.556 6.673 4.023
Ru 1.556 0.000 4.703
Ru 1.556 7.435 8.725
Ru 1.556 8.725 1.970
Nb 0.000 3.066 7.768
Be 0.000 3.561 1.141
```

Output
Space-group type: P4/mbm
Energy relative to the elements (eV per atom): -0.30
Calculated volume (A^3/atom): 13.76
Fermi-level density of states (states/eV/f.u.): 4.23

***

5.
Density functional theory data (GGA-PBE) for a relaxed Be2NbSbMo crystal.

```
5
Lattice="-4.038 -1.569 -0.324 0.846 -1.136 -5.052 1.441 -3.940 1.128" Properties=species:S:1:pos:R:3 pbc="T T T"
Be -2.019 -0.784 -0.162
Be 0.720 -1.970 0.564
Sb 0.000 0.000 0.000
Mo -0.876 -3.323 -2.124
Nb 0.423 -0.568 -2.526
```

Output
Space-group type: P4/mmm
Formation energy (no corrections) (eV per atom): 1.636
Calculated volume (A^3/atom): 19.80
Fermi-level density of states (states/eV/f.u.): 3.63

***

6.
Density functional theory data (GGA-PBE) for a relaxed TiBeNbMo crystal.

```
4
Lattice="-0.056 3.978 -1.931 -2.898 3.063 1.332 1.406 3.556 2.222" Properties=species:S:1:pos:R:3 pbc="T T T"
Nb -1.161 7.948 1.217
Be -0.774 5.299 0.811
Ti -0.387 2.649 0.406
Mo 0.000 0.000 0.000
```

Output
Space-group type: F-43m
Energy relative to the elements (eV per atom): -0.01
Calculated volume (A^3/atom): 15.29
Fermi-level density of states (states/eV/f.u.): 5.46

***

7.
Density functional theory data (GGA-PBE) for a relaxed BeNiMo2 crystal.

```
4
Lattice="2.651 0.052 0.000 -0.031 2.651 0.000 0.000 0.000 7.180" Properties=species:S:1:pos:R:3 pbc="T T T"
Ni 0.000 0.000 3.909
Mo 0.000 0.000 6.876
Mo 1.310 1.352 2.040
Be 1.310 1.352 5.124
```

Output
Space-group type: Cmm2
Energy relative to the elements (eV per atom): -0.07
Calculated volume (A^3/atom): 12.62
Fermi-level density of states (states/eV/f.u.): 2.02

***

8.
Density functional theory data (GGA-PBE) for a relaxed BeNiMo2 crystal.

```
4
Lattice="3.919 0.000 0.000 0.000 3.638 0.000 0.000 0.000 3.638" Properties=species:S:1:pos:R:3 pbc="T T T"
Ni 1.960 1.819 0.000
Be 1.960 0.000 1.819
Mo 0.000 1.819 1.819
Mo 0.000 0.000 0.000
```

Output
Space-group type: P4/mmm
Energy relative to the elements (eV per atom): 0.05
Calculated volume (A^3/atom): 12.97
Fermi-level density of states (states/eV/f.u.): 3.15

***

9.
Density functional theory data (GGA-PBE) for a relaxed BeNiMo crystal.

```
3
Lattice="5.198 0.001 -0.001 4.520 2.566 -0.007 0.678 0.185 2.559" Properties=species:S:1:pos:R:3 pbc="T T T"
Ni 6.496 1.718 0.907
Mo 3.737 0.991 1.690
Be 0.841 0.228 2.512
```

Output
Space-group type: I4mm
Energy relative to the elements (eV per atom): -0.19
Calculated volume (A^3/atom): 11.37
Fermi-level density of states (states/eV/f.u.): 1.63

***

10.
Density functional theory data (GGA-PBE) for a relaxed BeNiMo crystal.

```
6
Lattice="-2.862 -2.049 -1.257 1.289 -4.923 -0.473 -1.742 -2.902 3.130" Properties=species:S:1:pos:R:3 pbc="T T T"
Be -1.077 -3.462 -0.586
Ni -2.927 -5.121 0.767
Mo -1.227 -7.511 0.788
Be -0.737 -5.001 1.142
Ni -0.333 -1.460 0.017
Mo -1.557 -5.775 -1.278
```

Output
Space-group type: Cm
Energy relative to the elements (eV per atom): -0.04
Calculated volume (A^3/atom): 11.68
Fermi-level density of states (states/eV/f.u.): 2.79

***

11.
Density functional theory data (GGA-PBE) for a relaxed BeNiMo crystal.

```
6
Lattice="-3.680 -0.554 -0.686 -0.979 -4.219 -1.793 -2.435 -1.408 3.750" Properties=species:S:1:pos:R:3 pbc="T T T"
Mo -0.755 -1.145 0.294
Mo -4.499 -3.855 1.682
Ni -2.396 -3.237 0.351
Ni -3.933 -4.100 -1.147
Be -4.965 -1.567 2.319
Be -2.895 -1.734 1.787
```

Output
Space-group type: Cc
Energy relative to the elements (eV per atom): -0.05
Calculated volume (A^3/atom): 11.53
Fermi-level density of states (states/eV/f.u.): 2.17

***

12.
Density functional theory data (GGA-PBE) for a relaxed BeNiMo crystal.

```
3
Lattice="-2.069 -1.575 2.948 -1.466 0.003 -3.647 1.118 -2.314 -0.451" Properties=species:S:1:pos:R:3 pbc="T T T"
Be 0.932 -1.928 -0.376
Mo -1.294 -1.294 -1.599
Ni -0.936 -2.978 0.373
```

Output
Space-group type: P-6m2
Energy relative to the elements (eV per atom): -0.07
Calculated volume (A^3/atom): 11.64
Fermi-level density of states (states/eV/f.u.): 1.80

***

13.
Density functional theory data (GGA-PBE) for a relaxed BeNiMo2 crystal.

```
4
Lattice="4.096 0.000 0.000 0.000 2.625 -0.003 0.000 0.708 4.816" Properties=species:S:1:pos:R:3 pbc="T T T"
Be 2.048 2.122 3.634
Ni 0.000 2.055 2.449
Mo 0.000 0.729 4.666
Mo 2.048 0.801 1.286
```

Output
Space-group type: Pm
Energy relative to the elements (eV per atom): -0.01
Calculated volume (A^3/atom): 12.95
Fermi-level density of states (states/eV/f.u.): 2.47

***

14.
Density functional theory data (GGA-PBE) for a relaxed BeNi2Mo crystal.

```
4
Lattice="-0.192 2.304 4.254 -0.812 -2.606 3.999 2.836 0.922 -3.814" Properties=species:S:1:pos:R:3 pbc="T T T"
Ni 1.100 1.546 2.044
Be -0.521 -0.157 4.280
Mo 0.743 -0.923 2.305
Ni -0.997 -0.301 8.190
```

Output
Space-group type: Imm2
Energy relative to the elements (eV per atom): -0.01
Calculated volume (A^3/atom): 11.51
Fermi-level density of states (states/eV/f.u.): 3.45

***

15.
Density functional theory data (GGA-PBE) for a relaxed BeNiMo3 crystal.

```
5
Lattice="4.169 0.000 0.000 0.000 4.169 0.000 0.000 0.000 4.169" Properties=species:S:1:pos:R:3 pbc="T T T"
Mo 0.000 0.000 2.084
Be 0.000 0.000 0.000
Ni 2.084 2.084 2.084
Mo 2.084 0.000 0.000
Mo 0.000 2.084 0.000
```

Output
Space-group type: Pm-3m
Energy relative to the elements (eV per atom): 0.80
Calculated volume (A^3/atom): 14.49
Fermi-level density of states (states/eV/f.u.): 4.18

***

16.
Density functional theory data (GGA-PBE) for a relaxed Be2NiMo2 crystal.

```
10
Lattice="-0.016 5.569 1.545 -1.948 1.450 -5.244 -3.248 -0.319 1.118" Properties=species:S:1:pos:R:3 pbc="T T T"
Mo -2.278 4.935 0.114
Mo -2.934 1.764 -2.695
Ni -0.982 3.509 -1.850
Be -1.239 5.763 -1.951
Ni 0.000 0.000 0.000
Mo -1.962 1.921 0.172
Mo -3.250 4.778 -2.752
Be -0.261 3.688 0.296
Be -0.725 1.255 -1.748
Be -1.703 3.330 -3.995
```

Output
Space-group type: P4/mbm
Energy relative to the elements (eV per atom): -0.12
Calculated volume (A^3/atom): 11.52
Fermi-level density of states (states/eV/f.u.): 3.63

***

17.
Density functional theory data (GGA-PBE) for a relaxed BeNiMo crystal.

```
6
Lattice="-2.538 -1.017 3.041 0.960 -2.752 -2.870 3.939 -1.523 2.777" Properties=species:S:1:pos:R:3 pbc="T T T"
Be 0.000 0.000 0.000
Mo 1.582 -2.738 3.154
Ni 2.748 -3.316 1.184
Mo 0.778 -2.554 -0.205
Ni -0.388 -1.976 1.765
Be 1.969 -0.761 1.389
```

Output
Space-group type: P6_3/mmc
Energy relative to the elements (eV per atom): 0.14
Calculated volume (A^3/atom): 12.20
Fermi-level density of states (states/eV/f.u.): 0.56

***

18.
Density functional theory data (GGA-PBE) for a relaxed BeNiMo2 crystal.

```
4
Lattice="8.730 -0.004 -0.002 8.320 2.643 -0.002 8.320 1.288 2.308" Properties=species:S:1:pos:R:3 pbc="T T T"
Ni 6.343 0.982 0.576
Be 19.028 2.946 1.728
Mo 12.653 1.959 1.149
Mo 0.032 0.005 0.003
```

Output
Space-group type: R-3m
Energy relative to the elements (eV per atom): 0.27
Calculated volume (A^3/atom): 13.34
Fermi-level density of states (states/eV/f.u.): 4.84

***

19.
Density functional theory data (GGA-PBE) for a relaxed BeNiMo2 crystal.

```
4
Lattice="-1.802 3.101 1.265 -2.320 -1.224 -0.305 -1.720 -2.854 4.547" Properties=species:S:1:pos:R:3 pbc="T T T"
Be -3.931 -1.508 3.814
Mo -3.986 -4.032 4.207
Ni -1.911 0.531 1.693
Mo -2.075 -2.085 2.156
```

Output
Space-group type: P2/m
Energy relative to the elements (eV per atom): 0.04
Calculated volume (A^3/atom): 12.92
Fermi-level density of states (states/eV/f.u.): 4.09

***

20.
Density functional theory data (GGA-PBE) for a relaxed Be15Ni2Mo2 crystal.

```
19
Lattice="5.558 0.001 0.001 0.722 5.511 0.001 0.722 0.633 5.474" Properties=species:S:1:pos:R:3 pbc="T T T"
Ni 6.254 5.489 4.891
Be 4.199 1.303 3.559
Be 4.133 1.624 0.001
Be 1.837 3.994 3.559
Be 2.146 0.447 3.862
Be 0.722 4.074 1.613
Mo 4.575 4.015 3.578
Be 2.802 4.841 1.916
Be 2.146 3.887 0.001
Mo 2.426 2.129 1.897
Be 2.802 2.459 4.589
Be 5.164 2.150 1.916
Ni 0.747 0.656 0.584
Be 4.133 0.187 1.613
Be 0.722 2.070 3.862
Be 0.361 0.317 2.737
Be 0.361 2.755 0.000
Be 2.779 0.000 0.000
Be 4.199 3.685 0.886
```

Output
Space-group type: R-3m
Energy relative to the elements (eV per atom): -0.22
Calculated volume (A^3/atom): 8.82
Fermi-level density of states (states/eV/f.u.): 5.30